1.
Ba3Ga5Te12 after structural relaxation, computed with GGA-PBE.

The structure in extended XYZ format:
```
80
Lattice="15.5187 0.0000 0.0000 -5.1729 14.6312 0.0000 -5.1729 -7.3156 12.6710" Properties=species:S:1:pos:R:3 pbc="T T T"
Te -2.7364 -5.8532 12.3852
Te -0.5666 1.1448 2.5544
Te -2.7364 3.1740 7.7448
Te 10.4958 -3.1741 7.7448
Te 1.7348 -1.9709 11.5474
Te 6.9078 7.3280 2.2687
Te 1.7349 1.9585 11.5259
Te 11.1974 7.3032 2.2687
Te 5.0229 2.6791 7.4591
Te -1.3182 -3.8104 8.8899
Te 9.0776 -5.1797 11.2616
Te 6.4911 2.1359 1.4094
Te -5.3229 10.4896 4.9261
Te 3.4381 5.3571 1.1451
Te 10.1958 1.4624 0.2857
Te 7.9093 13.1688 0.2857
Te 7.1927 8.1888 6.6212
Te 6.0245 1.9709 11.5474
Te 2.0198 5.2976 8.6042
Te 1.3182 1.3693 7.4805
Te 6.0245 -1.9585 11.5259
Te 11.6141 3.5052 3.7811
Te 3.8547 5.9463 5.1904
Te -1.3182 5.1797 11.2616
Te 2.4365 9.9947 5.2119
Te 8.3260 -1.1449 2.5544
Te 0.5666 9.3336 8.6042
Te -3.9047 12.4953 1.4094
Te 6.4911 11.1260 3.7811
Te -2.0198 -0.8732 6.0498
Te 7.9093 4.1416 4.9261
Te -3.1531 8.4604 10.1166
Te -1.7349 -0.0124 10.4023
Te -0.8516 5.3447 1.1236
Te -6.4412 3.8104 8.8899
Te 3.1531 2.0180 4.0668
Te 4.6063 -2.0181 4.0668
Te 0.1500 4.6364 5.2119
Te -5.0229 5.8532 12.3852
Te 3.4381 9.2865 1.1236
Te 6.4411 -1.3693 7.4805
Te 2.7364 -2.6791 7.4591
Te -6.0245 0.0124 10.4023
Te -0.8516 9.2741 1.1451
Te -4.6063 6.4424 6.6212
Te 9.7792 0.8732 6.0498
Te -1.2682 8.6849 5.1904
Te 5.7395 6.1708 10.1166
Ba 3.8797 8.2300 7.9194
Ba 1.2932 -0.9144 4.7516
Ba 6.4661 0.9144 4.7516
Ba 11.6390 0.0000 3.1677
Ba -3.8797 -2.7433 11.0871
Ba -3.8797 2.7433 11.0871
Ba -6.4661 7.3156 9.5032
Ba -1.2932 6.4011 7.9194
Ba 1.2932 7.3156 3.1677
Ba 9.0526 4.5722 1.5839
Ba 3.8797 0.0000 9.5032
Ba 9.0526 10.0589 1.5839
Ga -1.2932 3.6578 3.1677
Ga -5.1729 3.6578 6.3355
Ga -1.2932 0.9144 7.9194
Ga -2.5865 -3.6578 6.3355
Ga 1.2932 4.5722 11.0871
Ga 3.8797 2.7433 1.5839
Ga 5.1729 -3.6578 6.3355
Ga 2.5865 3.6578 6.3355
Ga 9.0526 -0.9144 7.9194
Ga -3.8797 8.2300 4.7516
Ga 3.8797 10.9734 3.1677
Ga -1.2932 11.8878 1.5839
Ga 5.1729 7.3156 0.0000
Ga 6.4661 -4.5722 11.0871
Ga 1.2932 -3.6578 9.5032
Ga -2.5865 7.3156 0.0000
Ga 7.7594 0.0000 0.0000
Ga 6.4661 6.4011 4.7516
Ga 0.0000 0.0000 0.0000
Ga 6.4661 3.6578 9.5032
```

2.
Ba2GaTe4 after structural relaxation, computed with GGA-PBE.

The structure in extended XYZ format:
```
14
Lattice="-5.3277 4.1172 4.7819 -2.6606 -5.8825 2.1005 8.1661 -1.7487 5.4463" Properties=species:S:1:pos:R:3 pbc="T T T"
Te -0.5814 1.5599 3.8368
Te -0.4870 1.2289 8.3110
Te 2.0400 -2.2425 7.4808
Te 4.9743 -5.6182 7.0254
Te -4.7965 2.1041 5.3033
Te 0.7593 -5.0740 8.4919
Te 0.6649 -4.7430 4.0177
Te -1.8621 -1.2716 4.8478
Ga 1.9315 0.2307 8.5787
Ga -1.7537 -3.7448 3.7499
Ba -5.4808 -1.4455 5.4683
Ba -1.4606 -2.2363 8.3455
Ba 5.6586 -2.0686 6.8604
Ba 1.6384 -1.2778 3.9831
```

3.
Ba3GaTe4 after structural relaxation, computed with GGA-PBE.

The structure in extended XYZ format:
```
32
Lattice="9.1483 0.0000 0.0000 0.0000 10.7296 0.0000 0.0000 0.0000 12.6345" Properties=species:S:1:pos:R:3 pbc="T T T"
Ba 4.5841 2.2688 6.7754
Ba 9.1383 7.6336 5.8592
Ba 8.3583 10.3688 9.4759
Ba 9.1383 7.6336 0.4581
Ba 0.7900 0.3607 3.1586
Ba 4.5641 8.4608 0.4581
Ba 0.0100 3.0960 12.1764
Ba 0.0100 3.0960 6.7754
Ba 4.5641 8.4608 5.8592
Ba 3.7841 5.7255 9.4759
Ba 4.5841 2.2688 12.1764
Ba 5.3641 5.0040 3.1586
Ga 2.6951 10.4355 9.4759
Ga 7.2692 5.6588 9.4759
Ga 1.8790 5.0707 3.1586
Ga 6.4532 0.2940 3.1586
Te 2.6953 5.2055 5.9432
Te 8.6754 3.6708 3.1586
Te 6.4530 5.5241 6.6913
Te 5.0470 9.0356 9.4759
Te 1.8789 10.5703 12.2605
Te 2.2178 7.9370 3.1586
Te 4.1013 1.6940 3.1586
Te 1.8789 10.5703 6.6913
Te 6.4530 5.5241 12.2605
Te 0.4728 7.0588 9.4759
Te 6.7920 8.1573 3.1586
Te 2.3563 2.5723 9.4759
Te 7.2694 0.1593 5.9432
Te 7.2694 0.1593 0.3740
Te 6.9305 2.7925 9.4759
Te 2.6953 5.2055 0.3740
```

4.
Ba2ThGaTe5 after structural relaxation, computed with GGA-PBE.

The structure in extended XYZ format:
```
18
Lattice="-0.2294 -4.8297 -0.1986 8.2408 2.2731 -5.8415 8.1609 -0.8474 11.1830" Properties=species:S:1:pos:R:3 pbc="T T T"
Te 10.3363 -0.3724 -2.8854
Te 10.0539 -3.2028 7.3156
Te 6.2013 -3.0696 8.5291
Te 6.3460 -2.8848 3.8661
Te 8.0093 -0.3977 0.4188
Te 4.5876 -2.6139 -0.6923
Te 5.8543 -0.1069 -4.1658
Te 11.6243 -2.9990 0.5428
Te 1.0857 -0.0457 -0.1441
Te 10.2116 -0.6477 3.9539
Ba 12.7415 -3.2175 4.5684
Ba 7.6871 -2.6846 -2.5543
Ba 4.5772 -0.3057 2.1457
Ba 7.4965 -0.6169 6.3428
Th 8.9103 -2.9371 2.1750
Th 3.4647 -0.0727 -2.2353
Ga 8.5381 -3.2344 9.8370
Ga 10.8702 -0.5057 -0.2594
```

5.
Ba2TiGaTe5 after structural relaxation, computed with GGA-PBE.

The structure in extended XYZ format:
```
18
Lattice="-4.2632 -0.6324 1.1316 1.0818 -6.2404 -8.1851 3.7841 -10.4116 8.4381" Properties=species:S:1:pos:R:3 pbc="T T T"
Te 0.0459 -1.2640 -0.5334
Te 0.8027 -12.0569 5.0595
Te -1.9880 -4.5764 -1.2740
Te 0.7878 -8.3589 7.0700
Te -0.7040 -4.5957 -5.2207
Te 1.8451 -10.6565 0.9958
Te -0.5412 -7.6045 2.4847
Te -0.0202 -9.3793 -5.3177
Te 0.8077 -8.0000 -1.4280
Te -0.9905 -11.7631 -1.5324
Ba -2.1804 -7.2537 -3.4949
Ba 2.3655 -8.8819 3.9484
Ba 0.9080 -4.9669 0.6451
Ba 0.1674 -13.6181 1.7935
Ti -0.3518 -3.0153 -3.0105
Ti -0.7557 -9.5637 0.5816
Ga 1.2706 -10.8952 7.4717
Ga 0.7312 -10.2387 -2.9674
```

6.
Ba2TlGaTe5 after structural relaxation, computed with GGA-PBE.

The structure in extended XYZ format:
```
18
Lattice="-2.9526 2.8857 1.7937 4.8785 -4.1951 9.1316 9.3337 9.8400 -0.4660" Properties=species:S:1:pos:R:3 pbc="T T T"
Ba 7.1382 6.0931 1.9480
Ba 2.8597 1.1074 8.5743
Ba 8.5319 7.1385 8.2086
Ba 3.5316 2.2396 2.2105
Te 5.9476 -0.0054 9.7994
Te 5.7124 1.9750 6.2261
Te 4.0244 5.4870 3.4455
Te 1.7193 1.9857 5.2841
Te 5.8040 9.0547 0.6353
Te 8.2310 5.1647 5.2405
Te 0.7667 0.3045 0.7723
Te 7.9607 9.1001 4.1126
Te 6.8186 4.3526 9.8704
Te 11.6861 7.7358 6.7916
Ga 7.7937 10.3972 1.7509
Ga 7.1268 1.9929 8.5256
Tl 5.2578 5.1301 6.0502
Tl 1.8068 -1.0221 4.6185
```

Number 1: energy -3.496 eV per atom. Number 2: energy -3.909 eV per atom. Number 3: energy -3.936 eV per atom. Number 4: energy -4.572 eV per atom. Number 5: energy -4.423 eV per atom. Number 6: energy -3.655 eV per atom.